Density functional theory data (PBE-GGA) for a relaxed AgB3Pb crystal.

Lattice parameters (Å, degrees): 4.360 4.360 4.360 90.00 90.00 90.00
Positions (direct):
Ag  0.000  0.000  0.000
B  0.000  0.000  0.500
B  0.000  0.500  0.000
B  0.500  0.000  0.000
Pb  0.500  0.500  0.500

Distance to the lowest polymorph of the same formula (kJ per mole of atoms): 0.00
Energy relative to the elements (eV per atom): 1.893
Crystal system: cubic